# 1
LaPm6Dy8 after structural relaxation. Source: Alexandria via LeMat-Bulk, functional PBE.

Unit cell a=9.1217 b=9.1217 c=8.7396 alpha=58.54 beta=58.54 gamma=60.00
Fractional positions:
1 Pm 0.2312 0.1035 0.1291
2 Pm 0.7688 0.8965 0.8709
3 Pm 0.5362 0.2312 0.1291
4 Dy 0.2528 0.8880 0.5760
5 Pm 0.4638 0.7688 0.8709
6 Dy 0.7472 0.1120 0.4240
7 Dy 0.4232 0.4232 0.7304
8 Dy 0.5768 0.5768 0.2696
9 La 0.0000 0.0000 0.0000
10 Pm 0.1035 0.5362 0.1291
11 Dy 0.2832 0.2528 0.5760
12 Dy 0.8880 0.2832 0.5760
13 Dy 0.7168 0.7472 0.4240
14 Pm 0.8965 0.4638 0.8709
15 Dy 0.1120 0.7168 0.4240

N(E_F)   22.62 states/eV/cell
Total magnetization   0.00 μB per formula unit
Final energy   -68.33 eV/cell
ΔH_f (0 K)   128 meV/atom

# 2
La5Pm12Dy2 after structural relaxation. Source: Alexandria via LeMat-Bulk, functional PBE.

Unit cell a=8.3602 b=10.2873 c=9.2350 alpha=71.67 beta=90.00 gamma=113.97
Fractional positions:
1 Dy 0.3255 0.0000 0.0000
2 Pm 0.0750 0.6903 0.4665
3 La 0.2407 0.4814 0.7880
4 Pm 0.6153 0.6903 0.4665
5 Pm 0.5070 0.0140 0.3284
6 La 0.3043 0.6086 0.1784
7 La 0.6957 0.3914 0.8216
8 Dy 0.6745 0.0000 0.0000
9 Pm 0.3847 0.3097 0.5335
10 Pm 0.3359 0.2677 0.1527
11 Pm 0.0683 0.7323 0.8473
12 Pm 0.4930 0.9860 0.6716
13 Pm 0.9487 0.8975 0.1718
14 La 0.7593 0.5186 0.2120
15 La 0.0000 0.0000 0.5000
16 Pm 0.9317 0.2677 0.1527
17 Pm 0.6641 0.7323 0.8473
18 Pm 0.9250 0.3097 0.5335
19 Pm 0.0513 0.1025 0.8282

Energy above the lowest structure with this stoichiometry   0.092 eV/atom
N(E_F)   27.48 states/eV/cell
Total magnetization   0.00 μB per formula unit
Final energy   -87.26 eV/cell
ΔH_f (0 K)   189 meV/atom

# 3
La7PmDy3 after structural relaxation. Source: Alexandria via LeMat-Bulk, functional PBE.

Unit cell a=6.5045 b=7.8660 c=7.8707 alpha=82.25 beta=94.76 gamma=94.72
Fractional positions:
1 La 0.2652 0.5746 0.9348
2 La 0.7348 0.0650 0.4253
3 Dy 0.5000 0.0000 0.0000
4 Dy 0.0002 0.8325 0.1675
5 La 0.7883 0.7641 0.7642
6 La 0.2117 0.2359 0.2358
7 La 0.2652 0.9350 0.5747
8 La 0.0000 0.5000 0.5000
9 Dy 0.9998 0.1675 0.8325
10 Pm 0.5000 0.5000 0.5000
11 La 0.7348 0.4254 0.0652

Energy above the lowest structure with this stoichiometry   0.042 eV/atom
N(E_F)   16.62 states/eV/cell
Total magnetization   0.00 μB per formula unit
Final energy   -50.68 eV/cell
ΔH_f (0 K)   215 meV/atom

Please write out number 3 again, unchanged.
La7PmDy3 after structural relaxation. Source: Alexandria via LeMat-Bulk, functional PBE.

Unit cell a=6.5045 b=7.8660 c=7.8707 alpha=82.25 beta=94.76 gamma=94.72
Fractional positions:
1 La 0.2652 0.5746 0.9348
2 La 0.7348 0.0650 0.4253
3 Dy 0.5000 0.0000 0.0000
4 Dy 0.0002 0.8325 0.1675
5 La 0.7883 0.7641 0.7642
6 La 0.2117 0.2359 0.2358
7 La 0.2652 0.9350 0.5747
8 La 0.0000 0.5000 0.5000
9 Dy 0.9998 0.1675 0.8325
10 Pm 0.5000 0.5000 0.5000
11 La 0.7348 0.4254 0.0652

Energy above the lowest structure with this stoichiometry   0.042 eV/atom
N(E_F)   16.62 states/eV/cell
Total magnetization   0.00 μB per formula unit
Final energy   -50.68 eV/cell
ΔH_f (0 K)   215 meV/atom

> N(E_F) of number 2 (La5Pm12Dy2)?

27.48 states/eV/cell

> Look up the total magnetization of the second one.

0.00 μB per formula unit